KYOs2 after structural relaxation, computed with PBE.

Properties
- Total energy: -6.49 eV per atom
- Mass density: 10.0 g cm⁻³
- ΔE_f: 1.01 eV per atom
- Total magnetic moment: 0.54 μB/f.u.
- Symmetry: P4/mmm, No. 123

```
KYOs2
1.0
2.925 0.000 0.000
0.000 2.925 0.000
0.000 0.000 9.830
K Os Y
1 2 1
direct
0.500 0.500 0.750
0.000 0.000 0.030
0.000 0.000 0.470
0.500 0.500 0.250
```